## Fe3OF5 (PBE with a Hubbard U)

Data for a relaxed structure of Fe3OF5.

The structure in POSCAR format:
```
Fe3OF5
1.0
-1.9181 2.4741 0.5665
-3.8130 -2.6475 -1.3477
-1.7246 -4.4612 13.6434
Fe O F
6 2 10
Cartesian
-3.8777 -0.8032 -0.6888
-4.3466 -2.2029 3.8365
-5.0883 -3.7739 8.1860
-1.0871 -1.2668 1.8515
-1.7711 -2.8752 6.5600
-2.4375 -4.4121 11.0155
-4.6435 -5.1968 6.9737
-1.3511 0.6239 1.6332
-4.0874 -3.7056 2.3438
-5.2558 -6.6848 11.3986
-2.4638 -2.3071 10.6664
-1.8620 -0.7935 6.0939
-3.0080 -0.9415 2.8599
-3.6943 -2.5304 7.4754
-4.2893 -4.0167 11.9515
-2.1900 -1.7570 0.2584
-2.7291 -3.2044 4.7543
-3.4252 -4.7659 9.2167
```

Computed properties:
Excess energy over the best structure of this formula in the dataset in meV/atom: 6